1.
Compound: AgCO3
Source: Alexandria via LeMat-Bulk
Functional: PBE
Structure: relaxed

Lattice parameters (Å, degrees): 6.3247 6.3247 4.3390 90.00 90.00 133.69
Fractional positions:
Ag 0.1735 0.8265 0.7500
Ag 0.8265 0.1735 0.2500
C 0.4209 0.5791 0.7500
C 0.5791 0.4209 0.2500
O 0.1318 0.4205 0.7500
O 0.4205 0.1318 0.2500
O 0.5000 0.5000 0.0000
O 0.5000 0.5000 0.5000
O 0.5795 0.8682 0.7500
O 0.8682 0.5795 0.2500



2.
Compound: HfInF6
Source: Alexandria via LeMat-Bulk
Functional: PBE
Structure: relaxed

Lattice parameters (Å, degrees): 4.8584 4.8584 4.8584 95.65 95.65 95.65
Fractional positions:
Hf 0.0000 0.0000 0.0000
In 0.5000 0.5000 0.5000
F 0.0933 0.7101 0.7101
F 0.2899 0.2899 0.9067
F 0.2899 0.9067 0.2899
F 0.7101 0.0933 0.7101
F 0.7101 0.7101 0.0933
F 0.9067 0.2899 0.2899



| no. | size of the total moment (μB/cell) | energy (eV/atom) | formation energy without anion corrections (kJ/mol of atoms) |
| --- | --- | --- | --- |
| 1 | 1.665 | -5.6959 | -29.5 |
| 2 | 0.552 | -5.9868 | -289.2 |